*1*
First-principles (PBE) data for an optimized crystal structure of MgAl6Zn, as listed in Alexandria.

Summary:
Size of the total moment in Bohr magnetons per cell: 0.00
D(E_F) in states/eV per atom: 0.563

Cell: 6.589 9.479 5.532 Å, 90.00 124.00 90.00°
Space group C2/m (No. 12)
Asymmetric unit:
Mg 0.000 0.000 0.000
Al 0.020 0.500 0.270
Al 0.240 0.240 0.750
Zn 0.000 0.000 0.500



*2*
First-principles (PBE) data for an optimized crystal structure of MgAl6Zn, as listed in Alexandria.

Summary:
Size of the total moment in Bohr magnetons per cell: 0.00
D(E_F) in states/eV per atom: 0.392

Cell: 4.099 8.181 8.119 Å, 90.00 90.00 90.00°
Space group Amm2 (No. 38)
Asymmetric unit:
Mg 0.000 0.000 0.000
Al 0.000 0.000 0.510
Al 0.000 0.245 0.256
Al 0.500 0.000 0.259
Al 0.500 0.244 0.507
Zn 0.500 0.000 0.754



Stability check: which of them is most stable? *2*.



*1*
First-principles (PBE) data for an optimized crystal structure of Mg2Al4Zn3, as listed in Alexandria.

Summary:
Size of the total moment in Bohr magnetons per cell: 0.00
D(E_F) in states/eV per atom: 0.224

Cell: 5.4203 5.4203 13.6512 Å, 90.00 90.00 120.00°
Space group P-3m1 (No. 164)
Asymmetric unit:
Mg 0.3333 0.6667 0.0495
Mg 0.3333 0.6667 0.4535
Al 0.0000 0.0000 0.0000
Al 0.0000 0.0000 0.5000
Al 0.1684 0.3368 0.6613
Zn 0.1714 0.3429 0.8515



*2*
First-principles (PBE) data for an optimized crystal structure of Mg2Al4Zn3, as listed in Alexandria.

Summary:
Size of the total moment in Bohr magnetons per cell: 0.00
D(E_F) in states/eV per atom: 0.281

Cell: 5.0429 5.0429 14.4734 Å, 90.00 90.00 120.00°
Space group P6_3/mmc (No. 194)
Asymmetric unit:
Mg 0.3333 0.6667 0.1397
Al 0.0000 0.0000 0.0896
Al 0.3333 0.6667 0.5660
Zn 0.1686 0.3371 0.7500



Stability check: which of them is most stable? *2*.



*1*
First-principles (PBE) data for an optimized crystal structure of Mg3ZrAl, as listed in Alexandria.

Summary:
Size of the total moment in Bohr magnetons per cell: 0.00
D(E_F) in states/eV per atom: 0.733

Cell: 4.990 4.990 4.990 Å, 90.00 90.00 90.00°
Space group Pm-3m (No. 221)
Asymmetric unit:
Mg 0.000 0.000 0.500
Zr 0.500 0.500 0.500
Al 0.000 0.000 0.000



*2*
First-principles (PBE) data for an optimized crystal structure of Mg3ZrAl, as listed in Alexandria.

Summary:
Size of the total moment in Bohr magnetons per cell: 3.50
D(E_F) in states/eV per atom: 0.942

Cell: 5.626 5.626 5.626 Å, 90.00 90.00 90.00°
Space group Pm-3m (No. 221)
Asymmetric unit:
Mg 0.000 0.000 0.500
Zr 0.000 0.000 0.000
Al 0.500 0.500 0.500



Stability check: which of them is most stable? *1*.



*1*
First-principles (PBE) data for an optimized crystal structure of Mg6ZrAl, as listed in Alexandria.

Summary:
Size of the total moment in Bohr magnetons per cell: 0.00
D(E_F) in states/eV per atom: 0.592

Cell: 4.917 6.364 11.095 Å, 90.00 90.00 90.00°
Space group Amm2 (No. 38)
Asymmetric unit:
Mg 0.000 0.000 0.000
Mg 0.000 0.247 0.752
Mg 0.500 0.000 0.163
Mg 0.500 0.248 0.415
Zr 0.000 0.000 0.509
Al 0.500 0.000 0.655



*2*
First-principles (PBE) data for an optimized crystal structure of Mg6ZrAl, as listed in Alexandria.

Summary:
Size of the total moment in Bohr magnetons per cell: 0.00
D(E_F) in states/eV per atom: 0.385

Cell: 5.032 6.110 11.224 Å, 90.00 90.00 90.00°
Space group Amm2 (No. 38)
Asymmetric unit:
Mg 0.000 0.000 0.000
Mg 0.000 0.000 0.491
Mg 0.000 0.246 0.750
Mg 0.500 0.250 0.091
Zr 0.500 0.000 0.844
Al 0.500 0.000 0.338



Stability check: which of them is most stable? *2*.